Th4Te5N | PBE-GGA | relaxed

Cell: 18.5887 4.1772 8.4246 Å, 90.00 102.74 90.00°
Space group C2/m (No. 12)
Asymmetric unit:
Th 0.0023 0.0000 0.2887 x4
Th 0.1443 0.5000 0.5717 x4
Te 0.0000 0.5000 0.0000 x2
Te 0.1670 0.0000 0.8504 x4
Te 0.1745 0.0000 0.3113 x4
N 0.0000 0.5000 0.5000 x2

## Properties
For the total magnetization, the calculation gives 0.0 Bohr magnetons per cell. As for the uncorrected formation energy: -1112 meV per atom. As for the volume: 638.0 Å³ per cell. The total energy is -6.483 eV/atom.